First-principles (meta-GGA SCAN) data for a PBEsol-optimized structure of BPI3Br3, as listed in the Alexandria database.

Its calculated volume is 35.06 Å³/atom. For the formation energy (no corrections), the calculation gives -0.336 eV per atom. The total energy is -23.6397 eV per atom.

```
BPI3Br3
1.0
7.445 0.000 0.000
0.000 11.792 0.000
0.000 0.000 12.779
I Br B P
12 12 4 4
Direct
0.699 0.750 0.985
0.301 0.250 0.015
0.801 0.750 0.485
0.397 0.086 0.276
0.103 0.414 0.776
0.603 0.914 0.724
0.897 0.586 0.224
0.897 0.914 0.224
0.397 0.414 0.276
0.199 0.250 0.515
0.603 0.586 0.724
0.103 0.086 0.776
0.720 0.110 0.553
0.631 0.250 0.774
0.780 0.390 0.053
0.280 0.890 0.447
0.131 0.750 0.726
0.780 0.110 0.053
0.369 0.750 0.226
0.280 0.610 0.447
0.720 0.390 0.553
0.220 0.610 0.947
0.220 0.890 0.947
0.869 0.250 0.274
0.757 0.250 0.638
0.743 0.250 0.138
0.243 0.750 0.362
0.257 0.750 0.862
0.519 0.750 0.827
0.981 0.750 0.327
0.019 0.250 0.673
0.481 0.250 0.173
```

---

First-principles (meta-GGA SCAN) data for a PBEsol-optimized structure of BTeI2Br, as listed in the Alexandria database.

Its calculated volume is 24.83 Å³/atom. For the formation energy (no corrections), the calculation gives 0.778 eV per atom. The total energy is -26.7465 eV per atom.

```
BTeI2Br
1.0
-3.651 3.416 -0.915
-0.437 -1.704 -4.618
-3.411 -3.238 1.517
B Br Te I
1 1 1 2
Direct
0.000 0.000 0.000
0.500 0.500 0.500
0.500 0.000 0.000
0.000 0.500 0.000
0.000 0.000 0.500
```

---

First-principles (meta-GGA SCAN) data for a PBEsol-optimized structure of In2BBr, as listed in the Alexandria database.

Its calculated volume is 21.35 Å³/atom. For the formation energy (no corrections), the calculation gives 0.929 eV per atom. The total energy is -22.4869 eV per atom.

```
In2BBr
1.0
-0.172 1.318 -4.761
-4.271 1.475 -2.004
-0.645 4.744 -1.229
Br B In
1 1 2
Direct
0.500 0.500 0.500
0.000 0.000 0.000
0.250 0.250 0.250
0.750 0.750 0.750
```

---

First-principles (meta-GGA SCAN) data for a PBEsol-optimized structure of InBBr2, as listed in the Alexandria database.

Its calculated volume is 22.65 Å³/atom. For the formation energy (no corrections), the calculation gives 0.610 eV per atom. The total energy is -19.3236 eV per atom.

```
InBBr2
1.0
-2.281 2.232 1.199
-2.743 0.800 -1.860
-6.246 -5.724 3.625
B Br In
1 2 1
Direct
0.500 0.500 0.500
0.887 0.887 0.340
0.113 0.113 0.660
0.000 0.000 0.000
```

---

First-principles (meta-GGA SCAN) data for a PBEsol-optimized structure of In2B2Br, as listed in the Alexandria database.

Its calculated volume is 18.94 Å³/atom. For the formation energy (no corrections), the calculation gives 0.215 eV per atom. The total energy is -20.0033 eV per atom.

```
In2B2Br
1.0
3.225 0.000 0.000
0.000 5.419 0.000
0.000 0.000 5.419
Br B In
1 2 2
Direct
0.500 0.500 0.500
0.000 0.000 0.000
0.500 0.000 0.000
0.000 0.000 0.500
0.000 0.500 0.000
```

---

First-principles (meta-GGA SCAN) data for a PBEsol-optimized structure of B2IrBr, as listed in the Alexandria database.

Its calculated volume is 15.85 Å³/atom. For the formation energy (no corrections), the calculation gives 0.580 eV per atom. The total energy is -25.7747 eV per atom.

```
B2IrBr
1.0
5.078 0.000 0.000
0.000 5.078 0.000
-2.539 -2.539 4.918
Br B Ir
2 4 2
Direct
0.750 0.250 0.500
0.500 0.500 0.000
0.943 0.375 0.250
0.625 0.693 0.750
0.125 0.057 0.750
0.307 0.875 0.250
0.000 0.000 0.000
0.250 0.750 0.500
```